Entry 1:
Entry from the Alexandria database: a relaxed structure of Sr2PO4 (PBE).

V ... 15.193 Å³/atom
Raw formation energy ... -2.437 eV/atom
Fermi-level density of states ... 0.1437 states/eV/atom
Symmetry ... P2_1/m (11)
Electronic total energy ... -45.7 eV per formula unit

a b c (Å): 5.703 5.546 7.267
angles (deg): 90.00 112.26 90.00
Positions (direct):
Sr (0.181, 0.250, 0.039)
Sr (0.303, 0.250, 0.574)
Sr (0.697, 0.750, 0.426)
Sr (0.819, 0.750, 0.961)
P (0.268, 0.750, 0.815)
P (0.732, 0.250, 0.185)
O (0.080, 0.525, 0.740)
O (0.080, 0.975, 0.740)
O (0.301, 0.750, 0.064)
O (0.413, 0.750, 0.642)
O (0.587, 0.250, 0.358)
O (0.699, 0.250, 0.936)
O (0.920, 0.025, 0.260)
O (0.920, 0.475, 0.260)

Entry 2:
Entry from the Alexandria database: a relaxed structure of Sr2P6O17 (PBE).

V ... 14.158 Å³/atom
Raw formation energy ... -2.376 eV/atom
Fermi-level density of states ... 0.0000 states/eV/atom
Symmetry ... P2_1 (4)
Electronic total energy ... -179.5 eV per formula unit

a b c (Å): 7.299 13.602 7.389
angles (deg): 90.00 105.21 90.00
Positions (direct):
Sr (0.172, 0.000, 0.368)
Sr (0.219, 0.282, 0.678)
Sr (0.781, 0.782, 0.322)
Sr (0.828, 0.500, 0.632)
P (0.006, 0.219, 0.095)
P (0.245, 0.542, 0.035)
P (0.277, 0.515, 0.455)
P (0.317, 0.736, 0.498)
P (0.323, 0.032, 0.876)
P (0.344, 0.819, 0.880)
P (0.656, 0.319, 0.120)
P (0.677, 0.532, 0.124)
P (0.683, 0.236, 0.502)
P (0.723, 0.015, 0.545)
P (0.755, 0.042, 0.965)
P (0.994, 0.719, 0.905)
O (0.076, 0.176, 0.288)
O (0.128, 0.452, 0.503)
O (0.129, 0.813, 0.888)
O (0.134, 0.251, 0.981)
O (0.148, 0.478, 0.879)
O (0.159, 0.648, 0.037)
O (0.161, 0.809, 0.421)
O (0.214, 0.629, 0.466)
O (0.235, 0.021, 0.034)
O (0.239, 0.093, 0.707)
O (0.246, 0.497, 0.230)
O (0.349, 0.923, 0.783)
O (0.370, 0.742, 0.731)
O (0.457, 0.565, 0.038)
O (0.481, 0.499, 0.551)
O (0.484, 0.808, 0.063)
O (0.500, 0.237, 0.553)
O (0.500, 0.737, 0.447)
O (0.516, 0.308, 0.937)
O (0.519, 0.999, 0.449)
O (0.543, 0.065, 0.962)
O (0.630, 0.242, 0.269)
O (0.651, 0.423, 0.217)
O (0.754, 0.997, 0.770)
O (0.761, 0.593, 0.293)
O (0.765, 0.521, 0.966)
O (0.786, 0.129, 0.534)
O (0.839, 0.309, 0.579)
O (0.841, 0.148, 0.963)
O (0.852, 0.978, 0.121)
O (0.866, 0.751, 0.019)
O (0.871, 0.313, 0.112)
O (0.872, 0.952, 0.497)
O (0.924, 0.676, 0.712)

Entry 3:
Entry from the Alexandria database: a relaxed structure of SrP2O6 (PBE).

V ... 14.865 Å³/atom
Raw formation energy ... -2.510 eV/atom
Fermi-level density of states ... 0.0000 states/eV/atom
Symmetry ... C2/c (15)
Electronic total energy ... -64.8 eV per formula unit

a b c (Å): 7.601 7.601 4.669
angles (deg): 95.06 95.06 91.12
Positions (direct):
Sr (0.142, 0.858, 0.750)
Sr (0.858, 0.142, 0.250)
P (0.193, 0.356, 0.821)
P (0.356, 0.193, 0.321)
P (0.644, 0.807, 0.679)
P (0.807, 0.644, 0.179)
O (0.047, 0.214, 0.769)
O (0.153, 0.541, 0.766)
O (0.214, 0.047, 0.269)
O (0.285, 0.358, 0.145)
O (0.358, 0.285, 0.645)
O (0.459, 0.847, 0.734)
O (0.541, 0.153, 0.266)
O (0.642, 0.715, 0.355)
O (0.715, 0.642, 0.855)
O (0.786, 0.953, 0.731)
O (0.847, 0.459, 0.234)
O (0.953, 0.786, 0.231)

Entry 4:
Entry from the Alexandria database: a relaxed structure of SrP2O2 (PBE).

V ... 28.361 Å³/atom
Raw formation energy ... 1.432 eV/atom
Fermi-level density of states ... 1.5858 states/eV/atom
Symmetry ... P4/mmm (123)
Electronic total energy ... -15.3 eV per formula unit

a b c (Å): 5.712 5.712 4.346
angles (deg): 90.00 90.00 90.00
Positions (direct):
Sr (0.000, 0.000, 0.000)
P (0.000, 0.500, 0.000)
P (0.500, 0.000, 0.000)
O (0.000, 0.000, 0.500)
O (0.500, 0.500, 0.500)

Entry 5:
Entry from the Alexandria database: a relaxed structure of Sr3PO6 (PBE).

V ... 16.652 Å³/atom
Raw formation energy ... -2.648 eV/atom
Fermi-level density of states ... 0.0389 states/eV/atom
Symmetry ... Cmc2_1 (36)
Electronic total energy ... -66.7 eV per formula unit

a b c (Å): 7.998 7.998 5.349
angles (deg): 90.00 90.00 103.24
Positions (direct):
Sr (0.103, 0.897, 0.500)
Sr (0.192, 0.417, 0.538)
Sr (0.417, 0.192, 0.038)
Sr (0.583, 0.808, 0.538)
Sr (0.808, 0.583, 0.038)
Sr (0.897, 0.103, 0.000)
P (0.303, 0.697, 0.085)
P (0.697, 0.303, 0.585)
O (0.119, 0.626, 0.194)
O (0.153, 0.174, 0.270)
O (0.174, 0.153, 0.770)
O (0.298, 0.702, 0.794)
O (0.374, 0.881, 0.194)
O (0.421, 0.579, 0.184)
O (0.579, 0.421, 0.684)
O (0.626, 0.119, 0.694)
O (0.702, 0.298, 0.294)
O (0.826, 0.847, 0.270)
O (0.847, 0.826, 0.770)
O (0.881, 0.374, 0.694)

Entry 6:
Entry from the Alexandria database: a relaxed structure of SrP2O6 (PBE).

V ... 15.841 Å³/atom
Raw formation energy ... -2.504 eV/atom
Fermi-level density of states ... 0.0000 states/eV/atom
Symmetry ... P-1 (2)
Electronic total energy ... -64.8 eV per formula unit

a b c (Å): 5.839 7.299 7.445
angles (deg): 101.64 111.06 95.42
Positions (direct):
Sr (0.247, 0.382, 0.210)
Sr (0.753, 0.618, 0.790)
P (0.159, 0.295, 0.670)
P (0.241, 0.909, 0.726)
P (0.759, 0.091, 0.274)
P (0.841, 0.705, 0.330)
O (0.047, 0.884, 0.810)
O (0.116, 0.811, 0.484)
O (0.121, 0.407, 0.849)
O (0.300, 0.406, 0.579)
O (0.312, 0.130, 0.728)
O (0.482, 0.842, 0.803)
O (0.518, 0.158, 0.197)
O (0.688, 0.870, 0.272)
O (0.700, 0.594, 0.421)
O (0.879, 0.593, 0.151)
O (0.884, 0.189, 0.516)
O (0.953, 0.116, 0.190)